(1)
Here is a relaxed structure of Lu2Nb4Pb3C3 from OQMD. Energies are from PBE.

Its total magnetic moment is 0.01 μB per cell. As for the density: 10.581 g/cm3. The space group is C2/c, No. 15. The total DFT energy (no corrections) comes out at -7.730 eV per atom.

Geometry as extended XYZ:
```
24
Lattice="5.065 -2.925 0.000 5.065 2.925 0.000 -3.480 0.000 14.610" Properties=species:S:1:pos:R:3 pbc="T T T"
Lu 2.532 2.463 8.642
Lu 2.378 2.463 13.273
Lu 4.272 -2.463 1.337
Lu 4.118 -2.463 5.968
Nb 2.498 0.457 1.080
Nb 2.474 0.531 6.226
Nb 0.758 -0.457 8.385
Nb 0.734 -0.531 13.531
Nb 5.916 0.531 1.079
Nb 5.892 0.457 6.225
Nb 4.176 -0.531 8.384
Nb 4.152 -0.457 13.530
Pb -0.794 0.561 11.002
Pb 0.946 -0.561 3.697
Pb 2.455 0.352 10.957
Pb 4.195 -0.352 3.652
Pb 5.704 0.561 10.913
Pb 7.444 -0.561 3.608
C 0.793 1.462 7.305
C 4.182 1.404 0.002
C 4.208 1.404 7.302
C 2.533 -1.462 0.000
C 2.442 -1.404 7.307
C 2.468 -1.404 14.607
```

=====

(2)
Here is a relaxed structure of SmInPb from OQMD. Energies are from PBE.

Its total magnetic moment is 0.00 μB per cell. As for the density: 7.836 g/cm3. The space group is F-43m, No. 216. The total DFT energy (no corrections) comes out at -3.842 eV per atom.

Geometry as extended XYZ:
```
3
Lattice="0.000 3.685 3.685 3.685 0.000 3.685 3.685 3.685 0.000" Properties=species:S:1:pos:R:3 pbc="T T T"
Sm 0.000 0.000 0.000
In 5.528 5.528 5.528
Pb 1.843 1.843 1.843
```

=====

(3)
Here is a relaxed structure of Y2ErIn3Ir2 from OQMD. Energies are from PBE.

Its total magnetic moment is 0.00 μB per cell. As for the density: 9.729 g/cm3. The space group is Amm2, No. 38. The total DFT energy (no corrections) comes out at -6.074 eV per atom.

Geometry as extended XYZ:
```
8
Lattice="3.667 0.000 0.000 0.000 6.574 3.802 0.000 -6.574 3.802" Properties=species:S:1:pos:R:3 pbc="T T T"
Y 0.000 -3.807 3.802
Y 0.000 3.807 3.802
Er 0.000 0.000 2.795
In 1.834 0.000 0.197
In 1.834 -1.543 5.108
In 1.834 1.543 5.108
Ir 1.834 -2.156 2.213
Ir 1.834 2.156 2.213
```

=====

(4)
Here is a relaxed structure of Sc3Ni4As4 from OQMD. Energies are from PBE.

Its total magnetic moment is 0.00 μB per cell. As for the density: 6.257 g/cm3. The space group is Pm, No. 6. The total DFT energy (no corrections) comes out at -6.283 eV per atom.

Geometry as extended XYZ:
```
11
Lattice="6.398 0.000 0.000 0.000 3.883 0.000 -0.205 0.000 7.149" Properties=species:S:1:pos:R:3 pbc="T T T"
Sc 0.000 0.000 0.000
Sc 0.106 1.942 4.429
Sc 3.285 1.942 3.397
Ni 0.881 1.942 1.741
Ni 2.120 0.000 5.318
Ni 4.065 1.942 6.149
Ni 5.411 0.000 2.611
As 1.459 0.000 2.922
As 1.741 1.942 6.689
As 4.588 0.000 4.891
As 4.885 1.942 1.280
```

=====

(5)
Here is a relaxed structure of Zn2Br3Cl from OQMD. Energies are from PBE.

As for the density: 4.448 g/cm3. The space group is Pm, No. 6. The total DFT energy (no corrections) comes out at -2.418 eV per atom.

Geometry as extended XYZ:
```
6
Lattice="6.645 0.000 0.000 0.000 3.651 0.000 -2.646 0.000 6.246" Properties=species:S:1:pos:R:3 pbc="T T T"
Zn 0.000 0.000 0.000
Zn 0.703 1.825 6.141
Br 1.114 1.825 1.437
Br 4.423 0.000 1.433
Br 3.049 1.825 4.691
Cl -0.264 0.000 4.835
```

=====

(6)
Here is a relaxed structure of Zr4O11 from OQMD. Energies are from PBE.

Its total magnetic moment is 2.01 μB per cell. As for the density: 4.660 g/cm3. The space group is P1, No. 1. The total DFT energy (no corrections) comes out at -8.281 eV per atom.

Geometry as extended XYZ:
```
15
Lattice="3.575 0.000 0.000 -1.758 6.080 0.000 -1.745 -2.412 8.865" Properties=species:S:1:pos:R:3 pbc="T T T"
Zr 0.000 0.000 0.000
Zr -1.739 0.878 7.258
Zr 0.038 0.937 4.230
Zr 0.034 4.390 2.529
O -1.749 1.436 5.130
O -1.735 -0.435 8.740
O -1.733 4.987 3.783
O -1.714 2.822 7.980
O 0.036 2.557 3.050
O 0.046 0.364 6.520
O 1.797 0.357 1.325
O 0.003 3.699 5.408
O 1.819 0.565 2.751
O 0.092 4.298 6.501
O 1.826 4.398 1.234
```